Entry 1:
## Cs2LiSiO4 (GGA-PBE)

Data for an optimized crystal structure of Cs2LiSiO4.

Calculated values
Raw formation energy   -1.984 eV/atom
DFT total energy   -5.594 eV per atom

a = 4.8875 Å, b = 12.3816 Å, c = 21.7296 Å
α = 90.00°, β = 90.00°, γ = 90.00°
With the nearest neighbours (Å) after each atom.
Space group Fddd (No. 70, origin choice 2)
Symmetry-distinct sites (fractional):
Cs 0.1250 0.1250 0.2961 (multiplicity 16)  8 O 3.19-3.52
Li 0.1250 0.1250 0.1250 (multiplicity 8)  4 O 1.95
Si 0.1250 0.1250 0.6250 (multiplicity 8)  4 O 1.65
O 0.0792 0.2986 0.8329 (multiplicity 32)  1 Si 1.65

=====

Entry 2:
## Cs2Li2SiO4 (GGA-PBE)

Data for an optimized crystal structure of Cs2Li2SiO4.

Calculated values
Raw formation energy   -2.170 eV/atom
DFT total energy   -5.591 eV per atom

a = 5.6098 Å, b = 5.8137 Å, c = 9.5052 Å
α = 84.28°, β = 77.09°, γ = 86.95°
With the nearest neighbours (Å) after each atom.
Space group P-1 (No. 2)
Symmetry-distinct sites (fractional):
Cs 0.0128 0.1489 0.2902 (multiplicity 2)  6 O 3.03-3.29, 4 Li 3.05-3.26
Cs 0.2862 0.7351 0.0150 (multiplicity 2)  4 O 2.92-3.18
Li 0.1966 0.5898 0.4199 (multiplicity 2)  4 O 2.01-2.03
Li 0.4358 0.1889 0.4396 (multiplicity 2)  3 O 1.93-2.02
Si 0.3613 0.3152 0.7016 (multiplicity 2)  4 O 1.64-1.69
O 0.1535 0.3595 0.5972 (multiplicity 2)  1 Si 1.69
O 0.2371 0.2045 0.8653 (multiplicity 2)  1 Si 1.64
O 0.4211 0.8608 0.3894 (multiplicity 2)  1 Si 1.69
O 0.4945 0.4442 0.2921 (multiplicity 2)  1 Si 1.67

=====

Entry 3:
## CsLiSm2O4 (GGA-PBE)

Data for an optimized crystal structure of CsLiSm2O4.

Calculated values
Raw formation energy   -2.710 eV/atom
DFT total energy   -6.715 eV per atom

a = 3.6128 Å, b = 12.2553 Å, c = 12.0062 Å
α = 90.00°, β = 90.00°, γ = 90.00°
With the nearest neighbours (Å) after each atom.
Space group Cmcm (No. 63)
Symmetry-distinct sites (fractional):
Cs 0.0000 0.0984 0.2500 (multiplicity 4)  8 O 3.13-3.23, 3 Li 3.23-3.45
Li 0.0000 0.1827 0.7500 (multiplicity 4)  4 O 1.99-2.02
Sm 0.0000 0.3650 0.0575 (multiplicity 8)  6 O 2.32-2.55
O 0.0000 0.0000 0.0000 (multiplicity 4)  4 Sm 2.55
O 0.0000 0.2469 0.5976 (multiplicity 8)  1 Li 1.99
O 0.0000 0.3903 0.2500 (multiplicity 4)  2 Li 2.02

=====

Entry 4:
## Cs2Li2SnO4 (GGA-PBE)

Data for an optimized crystal structure of Cs2Li2SnO4.

Calculated values
Raw formation energy   -1.584 eV/atom
DFT total energy   -4.847 eV per atom

a = 12.5811 Å, b = 3.4693 Å, c = 6.8361 Å
α = 90.00°, β = 108.66°, γ = 90.00°
With the nearest neighbours (Å) after each atom.
Space group C2/m (No. 12)
Symmetry-distinct sites (fractional):
Cs 0.1435 0.0000 0.0757 (multiplicity 4)  7 O 3.10-3.34, 3 Li 3.11-3.22, 3 Cs 3.42-3.47
Li 0.1772 0.5000 0.4887 (multiplicity 4)  4 O 1.92-2.15
Sn 0.0000 0.0000 0.5000 (multiplicity 2)  6 O 2.11-2.23
O 0.0158 0.5000 0.3051 (multiplicity 4)  1 Li 2.02, 2 Sn 2.23
O 0.1768 0.0000 0.6098 (multiplicity 4)  3 Li 1.92-2.15, 1 Sn 2.11

=====

Entry 5:
## CsLiSn2O (GGA-PBE)

Data for an optimized crystal structure of CsLiSn2O.

Calculated values
Raw formation energy   0.020 eV/atom
DFT total energy   -3.126 eV per atom

a = 6.2219 Å, b = 6.2219 Å, c = 3.5480 Å
α = 90.00°, β = 90.00°, γ = 90.00°
With the nearest neighbours (Å) after each atom.
Space group P4/mmm (No. 123)
Symmetry-distinct sites (fractional):
Cs 0.0000 0.0000 0.0000 (multiplicity 1)  2 Cs 3.55, 8 Sn 3.58
Li 0.5000 0.5000 0.5000 (multiplicity 1)  2 O 1.77
Sn 0.0000 0.5000 0.5000 (multiplicity 2)  2 Li 3.11
O 0.5000 0.5000 0.0000 (multiplicity 1)  2 Li 1.77

=====

Entry 6:
## CsLiTaO4 (GGA-PBE)

Data for an optimized crystal structure of CsLiTaO4.

Calculated values
Raw formation energy   -2.123 eV/atom
DFT total energy   -7.045 eV per atom

a = 6.0504 Å, b = 6.0504 Å, c = 8.6005 Å
α = 90.00°, β = 90.00°, γ = 90.00°
With the nearest neighbours (Å) after each atom.
Space group I-4 (No. 82)
Symmetry-distinct sites (fractional):
Cs 0.0000 0.0000 0.0000 (multiplicity 2)  8 O 3.22-3.58
Li 0.0000 0.5000 0.7500 (multiplicity 2)  4 O 1.93
Ta 0.0000 0.0000 0.5000 (multiplicity 2)  4 O 1.87
O 0.0681 0.2438 0.6242 (multiplicity 8)  1 Ta 1.87, 1 Li 1.93

=====

Entry 7:
## Cs2LiTa2O7 (GGA-PBE)

Data for an optimized crystal structure of Cs2LiTa2O7.

Calculated values
Raw formation energy   -2.281 eV/atom
DFT total energy   -7.450 eV per atom

a = 4.0257 Å, b = 4.0257 Å, c = 24.6376 Å
α = 90.00°, β = 90.00°, γ = 90.00°
With the nearest neighbours (Å) after each atom.
Space group I4/mmm (No. 139)
Symmetry-distinct sites (fractional):
Cs 0.0000 0.0000 0.1875 (multiplicity 4)  4 O 2.93
Li 0.0000 0.0000 0.0000 (multiplicity 2)  12 O 2.78-2.85
Ta 0.0000 0.0000 0.4173 (multiplicity 4)  6 O 1.90-2.04
O 0.0000 0.0000 0.3400 (multiplicity 4)  1 Ta 1.90
O 0.0000 0.0000 0.5000 (multiplicity 2)  2 Ta 2.04
O 0.0000 0.5000 0.0776 (multiplicity 8)  2 Ta 2.02

=====

Entry 8:
## CsLiTcO4 (GGA-PBE)

Data for an optimized crystal structure of CsLiTcO4.

Calculated values
Raw formation energy   -1.674 eV/atom
DFT total energy   -6.384 eV per atom

a = 6.0582 Å, b = 6.0582 Å, c = 8.5916 Å
α = 90.00°, β = 90.00°, γ = 90.00°
With the nearest neighbours (Å) after each atom.
Space group I-4 (No. 82)
Symmetry-distinct sites (fractional):
Cs 0.0000 0.0000 0.0000 (multiplicity 2)  8 O 3.21-3.58
Li 0.0000 0.0000 0.5000 (multiplicity 2)  4 O 2.00
Tc 0.0000 0.5000 0.7500 (multiplicity 2)  4 O 1.79
O 0.0618 0.2655 0.6308 (multiplicity 8)  1 Tc 1.79, 1 Li 2.00